# 1
Here is an optimized crystal structure of Ti3TcSn from Alexandria. Energies are from PBEsol.

Cell and atoms, written as extended XYZ:
```
5
Lattice="4.8502 0.0000 0.0000 0.0000 4.8502 0.0000 0.0000 0.0000 4.8502" Properties=species:S:1:pos:R:3 pbc="T T T"
Sn 0.0000 0.0000 0.0000
Ti 0.0000 2.4251 0.0000
Ti 2.4251 0.0000 0.0000
Ti 0.0000 0.0000 2.4251
Tc 2.4251 2.4251 2.4251
```

Computed properties:
- Formation enthalpy at 0 K: 1.600 eV/atom
- ρ: 5.24 g/cm3
- Crystal system: cubic



# 2
Here is an optimized crystal structure of UTc2Sn from Alexandria. Energies are from PBEsol.

Cell and atoms, written as extended XYZ:
```
4
Lattice="4.6413 0.0000 0.0000 2.3207 4.0195 0.0000 2.3207 1.3398 3.7896" Properties=species:S:1:pos:R:3 pbc="T T T"
Tc 6.9620 4.0195 2.8422
Tc 2.3207 1.3398 0.9474
Sn 4.6413 2.6797 1.8948
U 0.0000 0.0000 0.0000
```

Computed properties:
- Formation enthalpy at 0 K: -0.021 eV/atom
- ρ: 12.98 g/cm3
- Crystal system: cubic



# 3
Here is an optimized crystal structure of YTc3Sn from Alexandria. Energies are from PBEsol.

Cell and atoms, written as extended XYZ:
```
5
Lattice="4.8214 0.0000 0.0000 0.0000 4.8214 0.0000 0.0000 0.0000 4.8214" Properties=species:S:1:pos:R:3 pbc="T T T"
Tc 0.0000 2.4107 0.0000
Tc 2.4107 0.0000 0.0000
Tc 0.0000 0.0000 2.4107
Y 2.4107 2.4107 2.4107
Sn 0.0000 0.0000 0.0000
```

Computed properties:
- Formation enthalpy at 0 K: 1.510 eV/atom
- ρ: 7.43 g/cm3
- Crystal system: cubic



# 4
Here is an optimized crystal structure of ZrTc3Sn from Alexandria. Energies are from PBEsol.

Cell and atoms, written as extended XYZ:
```
5
Lattice="-1.2174 -4.2577 -1.6640 1.9906 1.0564 -4.1594 4.1152 -1.7706 1.5198" Properties=species:S:1:pos:R:3 pbc="T T T"
Sn 0.0000 0.0000 0.0000
Tc 0.9953 0.5282 -2.0797
Tc -0.6087 -2.1289 -0.8320
Tc 2.0576 -0.8853 0.7599
Zr 2.4442 -2.4860 -2.1518
```

Computed properties:
- Formation enthalpy at 0 K: 1.732 eV/atom
- ρ: 7.90 g/cm3
- Crystal system: cubic



# 5
Here is an optimized crystal structure of ZrTcSn2 from Alexandria. Energies are from PBEsol.

Cell and atoms, written as extended XYZ:
```
4
Lattice="-4.2834 1.7502 -1.0752 -3.7803 -1.1981 2.6155 -2.0351 3.2142 2.8451" Properties=species:S:1:pos:R:3 pbc="T T T"
Sn -7.5741 2.8247 3.2891
Sn -2.5247 0.9416 1.0964
Zr 0.0000 0.0000 0.0000
Tc -5.0494 1.8831 2.1927
```

Computed properties:
- Formation enthalpy at 0 K: -0.072 eV/atom
- ρ: 9.35 g/cm3
- Crystal system: cubic



# 6
Here is an optimized crystal structure of Sn3Te from Alexandria. Energies are from PBEsol.

Cell and atoms, written as extended XYZ:
```
4
Lattice="-2.9721 -1.6561 3.3311 -0.2412 -4.1690 -2.2879 3.7123 -1.5969 2.5183" Properties=species:S:1:pos:R:3 pbc="T T T"
Sn 0.3701 -1.6265 2.9247
Sn 1.7355 -2.8829 0.1152
Sn -1.6067 -2.9125 0.5216
Te 0.0000 0.0000 0.0000
```

Computed properties:
- ρ: 7.44 g/cm3
- Formation energy from raw total energies: 0.050 eV/atom
- Crystal system: cubic



# 7
Here is an optimized crystal structure of Tl2SnTe3 from Alexandria. Energies are from PBEsol.

Cell and atoms, written as extended XYZ:
```
48
Lattice="8.2834 0.0000 0.0000 0.0000 8.3884 0.0000 0.0000 0.0000 21.9972" Properties=species:S:1:pos:R:3 pbc="T T T"
Sn 5.7525 4.1492 14.5920
Sn 2.5309 4.2391 7.4052
Sn 6.6725 8.3434 7.4052
Sn 6.6725 8.3434 3.5934
Sn 5.7525 4.1492 18.4039
Sn 1.6108 0.0450 18.4039
Sn 2.5309 4.2391 3.5934
Sn 1.6108 0.0450 14.5920
Te 1.0499 2.7259 5.4993
Te 3.0918 6.9201 16.4979
Te 4.2451 5.7840 12.9042
Te 0.1034 6.7985 20.0916
Te 8.1544 6.8599 5.4993
Te 4.8828 6.7261 8.7777
Te 8.1799 1.5899 9.0930
Te 0.7411 5.8564 2.2209
Te 4.8828 6.7261 2.2209
Te 3.4006 1.6622 13.2195
Te 3.4006 1.6622 19.7763
Te 4.2706 2.6657 16.4979
Te 0.7411 5.8564 8.7777
Te 8.1799 1.5899 1.9056
Te 4.0127 5.7226 5.4993
Te 0.1034 6.7985 12.9042
Te 7.5423 2.5320 19.7763
Te 7.2335 5.6624 16.4979
Te 0.1289 1.5285 16.4979
Te 7.5423 2.5320 13.2195
Te 4.0382 2.6043 1.9056
Te 5.1915 1.4683 5.4993
Te 4.2451 5.7840 20.0916
Te 4.0382 2.6043 9.0930
Tl 5.8153 8.2722 18.2824
Tl 2.4681 0.1161 3.7149
Tl 2.2316 8.1254 0.2417
Tl 6.0518 0.2630 21.7556
Tl 2.4681 0.1161 7.2837
Tl 6.0518 0.2630 11.2403
Tl 1.9101 3.9312 11.2403
Tl 5.8153 8.2722 14.7135
Tl 6.3733 4.4572 10.7570
Tl 2.2316 8.1254 10.7570
Tl 1.6736 4.3103 14.7135
Tl 6.6098 4.0781 7.2837
Tl 1.6736 4.3103 18.2824
Tl 6.3733 4.4572 0.2417
Tl 1.9101 3.9312 21.7556
Tl 6.6098 4.0781 3.7149
```

Computed properties:
- ρ: 7.91 g/cm3
- Formation energy from raw total energies: -0.217 eV/atom
- Crystal system: orthorhombic



# 8
Here is an optimized crystal structure of Tl4SnTe3 from Alexandria. Energies are from PBEsol.

Cell and atoms, written as extended XYZ:
```
16
Lattice="8.6886 0.0000 0.0000 -4.3443 7.7613 -0.0343 0.0000 -4.8314 7.2215" Properties=species:S:1:pos:R:3 pbc="T T T"
Tl 3.0785 1.0180 2.2041
Tl 3.0785 4.3277 1.3723
Tl 1.2658 -1.3977 5.8148
Tl 5.6102 2.9199 3.4765
Tl -1.2658 0.0100 3.7106
Tl -1.2658 0.5042 7.0873
Tl 5.6102 2.4257 0.0999
Tl 1.2658 1.9120 4.9831
Sn 4.3443 -2.4157 3.6107
Sn 0.0000 0.0000 0.0000
Te 7.2725 -3.2032 4.7878
Te 2.9281 -4.0439 6.0444
Te 0.0000 2.6728 1.7882
Te 1.4162 -1.6282 2.4337
Te 4.3443 0.2571 5.3989
Te 5.7605 -0.7875 1.1770
```

Computed properties:
- ρ: 9.02 g/cm3
- Formation energy from raw total energies: -0.262 eV/atom
- Crystal system: tetragonal



# 9
Here is an optimized crystal structure of Tl9SnTe6 from Alexandria. Energies are from PBEsol.

Cell and atoms, written as extended XYZ:
```
16
Lattice="-0.2343 -4.0724 7.7037 7.7998 2.7755 -3.2273 3.9886 6.8016 3.7169" Properties=species:S:1:pos:R:3 pbc="T T T"
Tl 6.5062 3.2024 0.4844
Tl 7.2112 2.6021 5.0288
Tl 1.8771 1.3646 5.7103
Tl 6.3261 5.5295 6.6409
Tl 8.2774 3.3048 8.4285
Tl 5.2280 -0.0247 1.5523
Tl 4.3430 2.9027 3.1644
Tl 3.2767 2.2000 -0.2352
Tl 5.0479 2.3024 7.7088
Te 1.2880 1.6448 2.3900
Te 2.4663 1.0844 9.0305
Te 6.7444 5.5123 3.1191
Te 3.3118 4.4291 5.7143
Te 4.8097 -0.0075 5.0741
Te 0.4424 -1.6999 5.7062
Sn 0.0000 0.0000 0.0000
```

Computed properties:
- ρ: 9.30 g/cm3
- Formation energy from raw total energies: -0.262 eV/atom
- Crystal system: tetragonal



# 10
Here is an optimized crystal structure of TlSn2TeW from Alexandria. Energies are from PBEsol.

Cell and atoms, written as extended XYZ:
```
5
Lattice="5.2451 0.0000 0.0000 0.0000 5.2848 0.0000 0.0000 0.0000 5.2848" Properties=species:S:1:pos:R:3 pbc="T T T"
Sn 0.0000 2.6424 0.0000
Sn 0.0000 0.0000 2.6424
Tl 2.6225 2.6424 2.6424
Te 2.6225 0.0000 0.0000
W 0.0000 0.0000 0.0000
```

Computed properties:
- ρ: 8.54 g/cm3
- Formation energy from raw total energies: 0.460 eV/atom
- Crystal system: tetragonal



# 11
Here is an optimized crystal structure of SnTe3W from Alexandria. Energies are from PBEsol.

Cell and atoms, written as extended XYZ:
```
5
Lattice="-0.3506 5.4667 -0.4440 -1.2098 0.3569 5.3492 5.3496 0.4389 1.1806" Properties=species:S:1:pos:R:3 pbc="T T T"
Te -0.6049 0.1785 2.6746
Te -0.1753 2.7333 -0.2220
Te 2.6748 0.2195 0.5903
W 1.8946 3.1313 3.0429
Sn 0.0000 0.0000 0.0000
```

Computed properties:
- ρ: 6.86 g/cm3
- Formation energy from raw total energies: 1.672 eV/atom
- Crystal system: cubic



# 12
Here is an optimized crystal structure of ThSn3 from Alexandria. Energies are from PBEsol.

Cell and atoms, written as extended XYZ:
```
4
Lattice="4.6797 0.0000 0.0000 0.0000 4.6797 0.0000 0.0000 0.0000 4.6797" Properties=species:S:1:pos:R:3 pbc="T T T"
Sn 2.3399 2.3399 0.0000
Sn 0.0000 2.3399 2.3399
Sn 2.3399 0.0000 2.3399
Th 0.0000 0.0000 0.0000
```

Computed properties:
- Formation enthalpy at 0 K: -0.500 eV/atom
- ρ: 9.53 g/cm3
- Crystal system: cubic